(1)
Computed, not measured: a relaxed Pr3YSb2 crystal at the PBE level of DFT.

## Properties
The energy above the lowest structure with this stoichiometry comes out at 6 meV/atom. The uncorrected formation energy is -0.83 eV per atom. The density of states at the Fermi level is 5.509 states/eV/f.u. The total magnetization comes out at 0.00 μB per formula unit.

The structure in CIF format:
```
data_Pr3YSb2
_cell_length_a 4.613
_cell_length_b 4.613
_cell_length_c 8.852
_cell_angle_alpha 90.00
_cell_angle_beta 90.00
_cell_angle_gamma 90.00
_space_group_name_H-M_alt 'P -4 m 2'
_space_group_IT_number 115
loop_
_space_group_symop_operation_xyz
'x,y,z'
'y,-x,-z'
'-x,-y,z'
'-y,x,-z'
'-x,y,z'
'-y,-x,-z'
'x,-y,z'
'y,x,-z'
loop_
_atom_site_label
_atom_site_fract_x
_atom_site_fract_y
_atom_site_fract_z
Pr1 0.000 0.000 0.000
Pr2 0.000 0.500 0.646
Y1 0.500 0.500 0.000
Sb1 0.000 0.500 0.275
```

=====

(2)
Computed, not measured: a relaxed LiBeIn2W crystal at the PBE level of DFT.

## Properties
The value obtained for the formation enthalpy at 0 K is 0.79 eV per atom. The density of states at the Fermi level is 3.092 states/eV/f.u. The total magnetization comes out at 0.00 μB per formula unit.

The structure in CIF format:
```
data_LiBeIn2W
_cell_length_a 5.288
_cell_length_b 5.288
_cell_length_c 4.518
_cell_angle_alpha 90.00
_cell_angle_beta 90.00
_cell_angle_gamma 90.00
_space_group_name_H-M_alt 'P 4/m m m'
_space_group_IT_number 123
_space_group_name_Hall '-P 4 2'
loop_
_atom_site_label
_atom_site_fract_x
_atom_site_fract_y
_atom_site_fract_z
Li1 0.000 0.000 0.000
Be1 0.500 0.500 0.000
In1 0.000 0.500 0.500
W1 0.500 0.500 0.500
```

=====

no.,energy (Ry/atom)
1,-0.41688
2,-0.29592